Record 1
Density functional theory data (GGA-PBE) for a geometry-optimized Li2YAg structure.

The total magnetization is 0.52 μB/cell. The total DFT energy (no corrections) comes out at -3.34 eV per atom.

a b c (Å): 6.909 6.909 6.909
angles (deg): 90.00 90.00 90.00
Space group F-43m (No. 216)
One atom of each set of equivalent atoms:
Li1 0.000 0.000 0.000 (multiplicity 4)
Li2 0.250 0.250 0.250 (multiplicity 4)
Y1 0.000 0.000 0.500 (multiplicity 4)
Ag1 0.250 0.250 0.750 (multiplicity 4)

Record 2
Density functional theory data (GGA-PBE) for a geometry-optimized KTbCuSe3 structure.

The total magnetization is 0.00 μB/cell. The total DFT energy (no corrections) comes out at -4.50 eV per atom.

a b c (Å): 9.074 4.080 9.551
angles (deg): 90.00 108.06 90.00
Space group P2_1/m (No. 11)
One atom of each set of equivalent atoms:
K1 0.202 0.250 0.236 (multiplicity 2)
Tb1 0.326 0.750 0.853 (multiplicity 2)
Cu1 0.085 0.250 0.599 (multiplicity 2)
Se1 0.107 0.250 0.860 (multiplicity 2)
Se2 0.196 0.750 0.529 (multiplicity 2)
Se3 0.458 0.750 0.168 (multiplicity 2)

Record 3
Density functional theory data (GGA-PBE) for a geometry-optimized BaPrAgSe2S structure.

The total magnetization is 0.01 μB/cell. The total DFT energy (no corrections) comes out at -5.03 eV per atom.

a b c (Å): 4.318 14.256 10.826
angles (deg): 90.00 90.00 90.00
Space group Cmcm (No. 63)
One atom of each set of equivalent atoms:
Ba1 0.000 0.239 0.250 (multiplicity 4)
Pr1 0.000 0.500 0.000 (multiplicity 4)
Ag1 0.000 0.029 0.750 (multiplicity 4)
Se1 0.000 0.142 0.557 (multiplicity 8)
S1 0.000 0.425 0.750 (multiplicity 4)

Record 4
Density functional theory data (GGA-PBE) for a geometry-optimized KPdO3 structure.

The total DFT energy (no corrections) comes out at -4.64 eV per atom.

a b c (Å): 5.572 7.986 5.644
angles (deg): 90.00 90.00 90.00
Space group Pnma (No. 62)
One atom of each set of equivalent atoms:
K1 0.028 0.250 0.004 (multiplicity 4)
Pd1 0.000 0.000 0.500 (multiplicity 4)
O1 0.008 0.250 0.562 (multiplicity 4)
O2 0.210 0.529 0.789 (multiplicity 8)

Record 5
Density functional theory data (GGA-PBE) for a geometry-optimized LuCd structure.

The total magnetization is 0.05 μB/cell. The total DFT energy (no corrections) comes out at -2.63 eV per atom. The formation energy is 0.082 eV/atom.

a b c (Å): 6.041 6.041 6.041
angles (deg): 90.00 90.00 90.00
Space group Fm-3m (No. 225)
One atom of each set of equivalent atoms:
Lu1 0.000 0.000 0.000 (multiplicity 4)
Cd1 0.000 0.000 0.500 (multiplicity 4)

Record 6
Density functional theory data (GGA-PBE) for a geometry-optimized MgFeHgW structure.

The total magnetization is 0.01 μB/cell. The total DFT energy (no corrections) comes out at -5.24 eV per atom.

a b c (Å): 6.267 6.267 6.267
angles (deg): 90.00 90.00 90.00
Space group F-43m (No. 216)
One atom of each set of equivalent atoms:
Mg1 0.000 0.000 0.000 (multiplicity 4)
Fe1 0.000 0.000 0.500 (multiplicity 4)
Hg1 0.250 0.250 0.250 (multiplicity 4)
W1 0.250 0.250 0.750 (multiplicity 4)

Record 7
Density functional theory data (GGA-PBE) for a geometry-optimized Cd2AsP3Pb2 structure.

The total DFT energy (no corrections) comes out at -3.69 eV per atom.

a b c (Å): 13.578 6.104 6.123
angles (deg): 90.00 116.62 90.00
Space group C2 (No. 5)
One atom of each set of equivalent atoms:
Cd1 0.129 0.000 0.371 (multiplicity 4)
As1 0.000 0.245 0.500 (multiplicity 2)
P1 0.000 0.767 0.000 (multiplicity 2)
P2 0.250 0.259 0.256 (multiplicity 4)
Pb1 0.126 0.512 0.880 (multiplicity 4)

Record 8
Density functional theory data (GGA-PBE) for a geometry-optimized PaTaNb3 structure.

The total magnetization is 0.00 μB/cell. The total DFT energy (no corrections) comes out at -8.69 eV per atom. The formation energy is 1.638 eV/atom.

a b c (Å): 4.891 4.891 4.891
angles (deg): 90.00 90.00 90.00
Space group Pm-3m (No. 221)
One atom of each set of equivalent atoms:
Pa1 0.000 0.000 0.000 (multiplicity 1)
Ta1 0.500 0.500 0.500 (multiplicity 1)
Nb1 0.000 0.000 0.500 (multiplicity 3)

Record 9
Density functional theory data (GGA-PBE) for a geometry-optimized Li4SiPAu2 structure.

The total DFT energy (no corrections) comes out at -3.62 eV per atom.

a b c (Å): 4.249 4.249 6.222
angles (deg): 90.00 90.00 90.00
Space group P-4m2 (No. 115)
One atom of each set of equivalent atoms:
Li1 0.000 0.000 0.000 (multiplicity 1)
Li2 0.000 0.500 0.742 (multiplicity 2)
Li3 0.500 0.500 0.500 (multiplicity 1)
Si1 0.500 0.500 0.000 (multiplicity 1)
P1 0.000 0.000 0.500 (multiplicity 1)
Au1 0.000 0.500 0.232 (multiplicity 2)

Record 10
Density functional theory data (GGA-PBE) for a geometry-optimized NaTa3Se5 structure.

The total magnetization is 0.01 μB/cell. The total DFT energy (no corrections) comes out at -6.60 eV per atom.

a b c (Å): 5.8139 5.8139 7.7078
angles (deg): 90.00 90.00 120.00
Space group P6/mmm (No. 191)
One atom of each set of equivalent atoms:
Na1 0.0000 0.0000 0.0000 (multiplicity 1)
Ta1 0.0000 0.5000 0.5000 (multiplicity 3)
Se1 0.0000 0.0000 0.5000 (multiplicity 1)
Se2 0.3333 0.6667 0.2351 (multiplicity 4)

Record 11
Density functional theory data (GGA-PBE) for a geometry-optimized Zr2CoP structure.

The total magnetization is 0.00 μB/cell. The total DFT energy (no corrections) comes out at -8.34 eV per atom.

a b c (Å): 5.267 3.647 7.431
angles (deg): 90.00 110.36 90.00
Space group Pm (No. 6)
One atom of each set of equivalent atoms:
Zr1 0.000 0.000 0.000 (multiplicity 1)
Zr2 0.066 0.500 0.644 (multiplicity 1)
Zr3 0.518 0.000 0.514 (multiplicity 1)
Zr4 0.584 0.500 0.160 (multiplicity 1)
Co1 0.645 0.500 0.788 (multiplicity 1)
Co2 0.938 0.000 0.370 (multiplicity 1)
P1 0.148 0.500 0.291 (multiplicity 1)
P2 0.435 0.000 0.869 (multiplicity 1)

Record 12
Density functional theory data (GGA-PBE) for a geometry-optimized Gd2Si4AgPd structure.

The total magnetization is 0.03 μB/cell. The total DFT energy (no corrections) comes out at -5.48 eV per atom.

a b c (Å): 4.107 4.104 17.729
angles (deg): 90.00 90.00 90.00
Space group Amm2 (No. 38)
One atom of each set of equivalent atoms:
Gd1 0.000 0.000 0.000 (multiplicity 2)
Gd2 0.500 0.000 0.193 (multiplicity 2)
Si1 0.000 0.000 0.341 (multiplicity 2)
Si2 0.000 0.000 0.633 (multiplicity 2)
Si3 0.500 0.000 0.566 (multiplicity 2)
Si4 0.500 0.000 0.842 (multiplicity 2)
Ag1 0.500 0.000 0.429 (multiplicity 2)
Pd1 0.000 0.000 0.767 (multiplicity 2)

Record 13
Density functional theory data (GGA-PBE) for a geometry-optimized Hf9FeRe4 structure.

The total magnetization is 0.02 μB/cell. The total DFT energy (no corrections) comes out at -10.85 eV per atom. The formation energy is -0.306 eV/atom.

a b c (Å): 8.5462 8.5462 8.4612
angles (deg): 90.00 90.00 120.00
Space group P6_3/mmc (No. 194)
One atom of each set of equivalent atoms:
Hf1 0.0813 0.5407 0.2500 (multiplicity 6)
Hf2 0.2004 0.4007 0.5582 (multiplicity 12)
Fe1 0.3333 0.6667 0.7500 (multiplicity 2)
Re1 0.0000 0.0000 0.0000 (multiplicity 2)
Re2 0.1103 0.2206 0.2500 (multiplicity 6)

Record 14
Density functional theory data (GGA-PBE) for a geometry-optimized Tb2GdSn4Pb3 structure.

The total magnetization is 0.02 μB/cell. The total DFT energy (no corrections) comes out at -4.57 eV per atom.

a b c (Å): 4.556 25.771 4.693
angles (deg): 90.00 90.00 90.00
Space group Cmmm (No. 65)
One atom of each set of equivalent atoms:
Tb1 0.000 0.190 0.000 (multiplicity 4)
Gd1 0.000 0.000 0.000 (multiplicity 2)
Sn1 0.000 0.291 0.500 (multiplicity 4)
Sn2 0.000 0.402 0.000 (multiplicity 4)
Pb1 0.000 0.099 0.500 (multiplicity 4)
Pb2 0.000 0.500 0.500 (multiplicity 2)

Record 15
Density functional theory data (GGA-PBE) for a geometry-optimized MgCuSbW structure.

The total magnetization is 0.01 μB/cell. The total DFT energy (no corrections) comes out at -5.00 eV per atom.

a b c (Å): 6.514 6.514 6.514
angles (deg): 90.00 90.00 90.00
Space group F-43m (No. 216)
One atom of each set of equivalent atoms:
Mg1 0.000 0.000 0.000 (multiplicity 4)
Cu1 0.250 0.250 0.750 (multiplicity 4)
Sb1 0.000 0.000 0.500 (multiplicity 4)
W1 0.250 0.250 0.250 (multiplicity 4)

Record 16
Density functional theory data (GGA-PBE) for a geometry-optimized Mg2Zr2Pt3 structure.

The total magnetization is 0.02 μB/cell. The total DFT energy (no corrections) comes out at -6.36 eV per atom.

a b c (Å): 4.5498 4.5498 22.1683
angles (deg): 90.00 90.00 120.00
Space group R3m (No. 160, hexagonal axes)
One atom of each set of equivalent atoms:
Mg1 0.0000 0.0000 0.0000 (multiplicity 3)
Mg2 0.0000 0.0000 0.4943 (multiplicity 3)
Zr1 0.0000 0.0000 0.2432 (multiplicity 3)
Zr2 0.0000 0.0000 0.7495 (multiplicity 3)
Pt1 0.0000 0.0000 0.3706 (multiplicity 3)
Pt2 0.0000 0.0000 0.6223 (multiplicity 3)
Pt3 0.0000 0.0000 0.8719 (multiplicity 3)

Record 17
Density functional theory data (GGA-PBE) for a geometry-optimized BaSnIr2 structure.

The total magnetization is 0.01 μB/cell. The total DFT energy (no corrections) comes out at -5.86 eV per atom.

a b c (Å): 4.302 7.729 6.139
angles (deg): 90.00 90.00 90.00
Space group Pmc2_1 (No. 26)
One atom of each set of equivalent atoms:
Ba1 0.000 0.158 0.000 (multiplicity 2)
Sn1 0.500 0.499 0.247 (multiplicity 2)
Ir1 0.000 0.347 0.496 (multiplicity 2)
Ir2 0.500 0.190 0.508 (multiplicity 2)

Record 18
Density functional theory data (GGA-PBE) for a geometry-optimized TmLu2Fe9 structure.

The total magnetization is 46.20 μB/cell. The total DFT energy (no corrections) comes out at -7.49 eV per atom. The formation energy is -0.131 eV/atom.

a b c (Å): 4.9899 4.9899 23.9054
angles (deg): 90.00 90.00 120.00
Space group R-3m (No. 166, hexagonal axes)
One atom of each set of equivalent atoms:
Tm1 0.0000 0.0000 0.0000 (multiplicity 3)
Lu1 0.0000 0.0000 0.1420 (multiplicity 6)
Fe1 0.0000 0.0000 0.3329 (multiplicity 6)
Fe2 0.0000 0.0000 0.5000 (multiplicity 3)
Fe3 0.0013 0.5007 0.9177 (multiplicity 18)

Record 19
Density functional theory data (GGA-PBE) for a geometry-optimized NbSiIr structure.

The total magnetization is 0.00 μB/cell. The total DFT energy (no corrections) comes out at -8.70 eV per atom.

a b c (Å): 6.5344 6.5344 3.8505
angles (deg): 90.00 90.00 120.00
Space group P-62m (No. 189)
One atom of each set of equivalent atoms:
Nb1 0.0000 0.5981 0.0000 (multiplicity 3)
Si1 0.0000 0.2645 0.5000 (multiplicity 3)
Ir1 0.0000 0.0000 0.0000 (multiplicity 1)
Ir2 0.3333 0.6667 0.5000 (multiplicity 2)

Record 20
Density functional theory data (GGA-PBE) for a geometry-optimized DyErCd6 structure.

The total magnetization is 0.00 μB/cell. The total DFT energy (no corrections) comes out at -2.10 eV per atom. The formation energy is -0.282 eV/atom.

a b c (Å): 6.5650 6.5650 4.9683
angles (deg): 90.00 90.00 120.00
Space group P-6m2 (No. 187)
One atom of each set of equivalent atoms:
Dy1 0.0000 0.0000 0.0000 (multiplicity 1)
Er1 0.3333 0.6667 0.5000 (multiplicity 1)
Cd1 0.3417 0.1709 0.5000 (multiplicity 3)
Cd2 0.5033 0.0066 0.0000 (multiplicity 3)

Record 21
Density functional theory data (GGA-PBE) for a geometry-optimized LiNbNi structure.

The total magnetization is 0.13 μB/cell. The total DFT energy (no corrections) comes out at -5.07 eV per atom.

a b c (Å): 5.770 5.770 5.770
angles (deg): 90.00 90.00 90.00
Space group F-43m (No. 216)
One atom of each set of equivalent atoms:
Li1 0.000 0.000 0.000 (multiplicity 4)
Nb1 0.250 0.250 0.750 (multiplicity 4)
Ni1 0.000 0.000 0.500 (multiplicity 4)

Record 22
Density functional theory data (GGA-PBE) for a geometry-optimized SrZnB structure.

The total DFT energy (no corrections) comes out at -1.97 eV per atom.

a b c (Å): 6.788 6.788 6.788
angles (deg): 90.00 90.00 90.00
Space group F-43m (No. 216)
One atom of each set of equivalent atoms:
Sr1 0.000 0.000 0.000 (multiplicity 4)
Zn1 0.250 0.250 0.250 (multiplicity 4)
B1 0.250 0.250 0.750 (multiplicity 4)

Record 23
Density functional theory data (GGA-PBE) for a geometry-optimized BaLu structure.

The total magnetization is 0.31 μB/cell. The total DFT energy (no corrections) comes out at -2.85 eV per atom.

a b c (Å): 3.8058 3.8058 6.4471
angles (deg): 90.00 90.00 120.00
Space group P-6m2 (No. 187)
One atom of each set of equivalent atoms:
Ba1 0.0000 0.0000 0.0000 (multiplicity 1)
Lu1 0.6667 0.3333 0.5000 (multiplicity 1)

no.,calculated volume (Å³/cell)
1,329.8
2,336.1
3,666.5
4,251.2
5,220.4
6,246.1
7,453.7
8,117.0
9,112.3
10,225.6
11,133.8
12,298.8
13,535.2
14,551.1
15,276.5
16,397.4
17,204.1
18,515.5
19,142.4
20,185.4
21,192.1
22,312.8
23,80.9